(1)
A relaxed AcLaMgO4 crystal, computed with PBE-GGA.

Cell: 7.011 7.011 5.604 Å, 90.00 90.00 132.99°
Sites, in units of the cell vectors:
Ac 0.112 0.888 0.750
Ac 0.888 0.112 0.250
La 0.386 0.614 0.750
La 0.614 0.386 0.250
Mg 0.247 0.753 0.250
Mg 0.753 0.247 0.750
O 0.000 0.500 0.000
O 0.000 0.500 0.500
O 0.077 0.923 0.250
O 0.432 0.568 0.250
O 0.500 0.000 0.000
O 0.500 0.000 0.500
O 0.568 0.432 0.750
O 0.923 0.077 0.750

The calculation puts the density at 7.5 g/cm³. The density of states at the Fermi level is 0.00 states/eV per atom.

(2)
A relaxed TiIrPd2W crystal, computed with PBE-GGA.

Cell: 4.541 4.541 4.560 Å, 90.00 90.00 90.00°
Sites, in units of the cell vectors:
Ti 0.000 0.000 0.000
Ir 0.000 0.000 0.500
Pd 0.000 0.500 0.000
Pd 0.500 0.000 0.000
W 0.500 0.500 0.500

The calculation puts the density at 11.2 g/cm³. The calculation puts the calculated formation energy at 1.19 eV/atom. The density of states at the Fermi level is 0.84 states/eV per atom.

(3)
A relaxed KCrPd2 crystal, computed with PBE-GGA.

Cell: 6.161 6.161 6.161 Å, 103.36 103.36 122.53°
Sites, in units of the cell vectors:
K 0.000 0.000 0.000
K 0.750 0.250 0.500
Cr 0.250 0.750 0.500
Cr 0.500 0.500 0.000
Pd 0.176 0.625 0.051
Pd 0.375 0.426 0.551
Pd 0.574 0.125 0.949
Pd 0.875 0.824 0.449

The calculation puts the density at 5.8 g/cm³. The calculation puts the calculated formation energy at 0.57 eV/atom. The density of states at the Fermi level is 1.04 states/eV per atom.

(4)
A relaxed Sm6MnSi2S14 crystal, computed with PBE-GGA.

Cell: 10.096 10.096 5.694 Å, 90.00 90.00 120.00°
Sites, in units of the cell vectors:
Sm 0.023 0.458 0.000
Sm 0.310 0.209 0.496
Sm 0.435 0.977 0.000
Sm 0.542 0.565 0.000
Sm 0.791 0.101 0.496
Sm 0.899 0.690 0.496
Mn 0.667 0.333 0.732
Si 0.000 0.000 0.081
Si 0.333 0.667 0.588
S 0.000 0.000 0.711
S 0.077 0.223 0.228
S 0.145 0.923 0.228
S 0.189 0.745 0.734
S 0.255 0.444 0.734
S 0.333 0.667 0.218
S 0.420 0.246 0.970
S 0.505 0.086 0.490
S 0.556 0.811 0.734
S 0.582 0.495 0.490
S 0.754 0.174 0.970
S 0.777 0.855 0.228
S 0.826 0.580 0.970
S 0.914 0.418 0.490

The calculation puts the density at 4.8 g/cm³.

(5)
A relaxed ReB3P crystal, computed with PBE-GGA.

Cell: 4.145 4.145 4.145 Å, 90.00 90.00 90.00°
Sites, in units of the cell vectors:
Re 0.000 0.000 0.000
B 0.000 0.000 0.500
B 0.000 0.500 0.000
B 0.500 0.000 0.000
P 0.500 0.500 0.500

The calculation puts the density at 5.8 g/cm³. The calculation puts the calculated formation energy at 1.60 eV/atom. The density of states at the Fermi level is 0.75 states/eV per atom.

(6)
A relaxed Ac3SmNi2 crystal, computed with PBE-GGA.

Cell: 9.046 9.046 12.483 Å, 123.69 123.69 26.41°
Sites, in units of the cell vectors:
Ac 0.085 0.085 0.451
Ac 0.087 0.087 0.939
Ac 0.343 0.343 0.747
Ac 0.657 0.657 0.253
Ac 0.913 0.913 0.061
Ac 0.915 0.915 0.549
Sm 0.336 0.336 0.237
Sm 0.664 0.664 0.763
Ni 0.266 0.266 0.951
Ni 0.267 0.267 0.451
Ni 0.733 0.733 0.549
Ni 0.734 0.734 0.049

The calculation puts the density at 8.4 g/cm³. The calculation puts the calculated formation energy at -0.19 eV/atom. The density of states at the Fermi level is 1.26 states/eV per atom.

Number 1: calculated total energy -7.4822 eV per atom. Number 2: calculated total energy -6.8310 eV per atom. Number 3: calculated total energy -4.7092 eV per atom. Number 4: calculated total energy -6.2225 eV per atom. Number 5: calculated total energy -5.9778 eV per atom. Number 6: calculated total energy -4.9564 eV per atom.